PrSiAu4 | Alexandria via LeMat-Bulk | PBE-GGA | relaxed; ΔE_f (raw) = -9.9 kcal/mol of atoms
1.0
4.096 0.000 0.000
0.000 7.663 0.000
0.000 0.000 7.772
Au Pr Si
8 2 2
direct
0.500 0.325 0.937
0.500 0.325 0.563
0.000 0.000 0.500
0.500 0.908 0.750
0.500 0.675 0.437
0.000 0.000 0.000
0.500 0.675 0.063
0.500 0.092 0.250
0.000 0.396 0.250
0.000 0.604 0.750
0.000 0.205 0.750
0.000 0.795 0.250

PrSi2Au2 | Alexandria via LeMat-Bulk | PBE-GGA | relaxed; ΔE_f (raw) = -14.2 kcal/mol of atoms
1.0
-3.999 0.534 4.450
-1.975 -4.997 2.685
5.280 2.420 -1.529
Au Si Pr
2 2 1
direct
0.250 0.750 0.500
0.750 0.250 0.500
0.614 0.614 0.000
0.386 0.386 0.000
0.000 0.000 0.000

Pr2Si2Au | Alexandria via LeMat-Bulk | PBE-GGA | relaxed; distance to the lowest polymorph of the same formula = 0 meV/atom; ΔE_f (raw) = -17.3 kcal/mol of atoms
1.0
-3.798 2.065 0.607
-3.453 -2.899 3.949
1.932 5.873 7.809
Si Au Pr
4 2 4
direct
0.971 0.649 0.410
0.388 0.118 0.106
0.029 0.351 0.590
0.612 0.882 0.894
0.567 0.185 0.682
0.433 0.815 0.318
0.105 0.696 0.094
0.895 0.304 0.906
0.711 0.231 0.347
0.289 0.769 0.653

Pr2Si2Au3 | Alexandria via LeMat-Bulk | PBE-GGA | relaxed; ΔE_f (raw) = -14.4 kcal/mol of atoms
1.0
4.172 0.000 0.000
-2.086 5.341 -0.278
0.000 -2.792 6.794
Pr Si Au
2 2 3
direct
0.142 0.285 0.771
0.858 0.715 0.229
0.859 0.717 0.799
0.141 0.283 0.201
0.500 0.000 0.000
0.377 0.754 0.559
0.623 0.246 0.441

Pr3Si2Au3 | Alexandria via LeMat-Bulk | PBE-GGA | relaxed; ΔE_f (raw) = -17.1 kcal/mol of atoms
1.0
4.395 0.000 0.000
-2.198 5.488 0.000
0.000 0.000 15.433
Pr Au Si
6 6 4
direct
0.913 0.826 0.104
0.624 0.248 0.250
0.913 0.826 0.396
0.087 0.174 0.604
0.087 0.174 0.896
0.376 0.752 0.750
0.376 0.753 0.958
0.624 0.247 0.458
0.624 0.247 0.042
0.340 0.680 0.250
0.660 0.320 0.750
0.376 0.753 0.542
0.203 0.406 0.106
0.797 0.594 0.606
0.797 0.594 0.894
0.203 0.406 0.394

PrSiAu2 | Alexandria via LeMat-Bulk | PBE-GGA | relaxed; ΔE_f (raw) = -10.5 kcal/mol of atoms
1.0
4.499 0.000 0.000
0.000 3.672 0.337
0.000 -0.508 5.444
Au Pr Si
2 1 1
direct
0.000 0.000 0.749
0.000 0.000 0.251
0.500 0.500 0.000
0.500 0.000 0.500

PrTmSiAu | Alexandria via LeMat-Bulk | PBE-GGA | relaxed; ΔE_f (raw) = -14.0 kcal/mol of atoms
1.0
5.127 0.000 0.000
2.563 4.440 0.000
2.563 1.480 4.186
Pr Au Tm Si
1 1 1 1
direct
0.500 0.500 0.500
0.250 0.250 0.250
0.000 0.000 0.000
0.750 0.750 0.750

PrYSiAu | Alexandria via LeMat-Bulk | PBE-GGA | relaxed; ΔE_f (raw) = -14.5 kcal/mol of atoms
1.0
-3.684 -0.629 3.560
1.044 -2.536 4.373
0.267 2.566 4.471
Pr Si Y Au
1 1 1 1
direct
0.000 0.000 0.000
0.750 0.750 0.750
0.500 0.500 0.500
0.250 0.250 0.250

Pr2ZnSi3Au4 | Alexandria via LeMat-Bulk | PBE-GGA | relaxed; ΔE_f (raw) = -14.0 kcal/mol of atoms
1.0
-1.649 -0.183 4.008
-4.005 -0.180 -1.656
0.573 -10.524 -0.245
Au Si Zn Pr
4 3 1 2
direct
0.000 0.000 0.000
0.500 0.500 0.000
0.000 0.500 0.367
0.500 0.000 0.633
0.500 0.000 0.865
0.000 0.500 0.135
0.000 0.000 0.500
0.500 0.500 0.500
0.000 0.500 0.755
0.500 0.000 0.245

PrZn2SiAu4 | Alexandria via LeMat-Bulk | PBE-GGA | relaxed; ΔE_f (raw) = -7.4 kcal/mol of atoms
1.0
-0.465 -3.936 2.020
3.521 -1.967 1.875
-0.789 2.268 9.136
Au Pr Si Zn
4 1 1 2
direct
0.134 0.134 0.598
0.401 0.401 0.796
0.866 0.866 0.402
0.599 0.599 0.204
0.000 0.000 0.000
0.500 0.500 0.500
0.749 0.749 0.752
0.251 0.251 0.248

PrSm2Au | Alexandria via LeMat-Bulk | PBE-GGA | relaxed; distance to the lowest polymorph of the same formula = 29 meV/atom; formation energy = -1.50 eV/f.u.
1.0
3.712 0.000 0.000
0.000 3.712 0.000
0.000 0.000 8.695
Sm Pr Au
2 1 1
direct
0.000 0.000 0.796
0.000 0.000 0.204
0.500 0.500 0.500
0.500 0.500 0.000

PrSmAu | Alexandria via LeMat-Bulk | PBE-GGA | relaxed; distance to the lowest polymorph of the same formula = 40 meV/atom; formation energy = -1.45 eV/f.u.
1.0
3.720 0.000 0.000
0.000 3.720 0.000
-1.860 -1.860 6.319
Sm Au Pr
1 1 1
direct
0.308 0.308 0.615
0.673 0.673 0.346
0.019 0.019 0.039

PrSm4Au2 | Alexandria via LeMat-Bulk | PBE-GGA | relaxed; formation energy = -1.57 eV/f.u.
1.0
-0.403 0.686 -4.865
-3.769 -2.002 -2.468
-7.216 8.397 -0.715
Au Sm Pr
2 4 1
direct
0.398 0.398 0.807
0.602 0.602 0.193
0.299 0.299 0.103
0.701 0.701 0.897
0.104 0.104 0.689
0.896 0.896 0.311
0.500 0.500 0.500

Pr2SmAu6 | Alexandria via LeMat-Bulk | PBE-GGA | relaxed; formation energy = -6.78 eV/f.u.
1.0
3.622 0.000 0.000
0.000 7.144 -4.124
0.000 0.000 8.249
Pr Au Sm
2 6 1
direct
0.000 0.667 0.333
0.000 0.333 0.667
0.500 0.668 0.000
0.500 0.000 0.332
0.500 0.332 0.332
0.500 0.668 0.668
0.500 0.332 0.000
0.500 0.000 0.668
0.000 0.000 0.000

Pr2SmAu3 | Alexandria via LeMat-Bulk | PBE-GGA | relaxed; distance to the lowest polymorph of the same formula = 0 meV/atom; formation energy = -4.57 eV/f.u.
1.0
-4.188 2.846 -1.487
-6.845 -4.693 0.933
-0.765 2.493 6.927
Pr Au Sm
4 6 2
direct
0.000 0.000 0.000
0.666 0.668 0.500
0.000 0.000 0.500
0.334 0.332 0.500
0.500 0.000 0.754
0.170 0.661 0.760
0.830 0.339 0.240
0.170 0.661 0.240
0.830 0.339 0.760
0.500 0.000 0.246
0.667 0.667 0.000
0.333 0.333 0.000

Pr3Sm2Au2 | Alexandria via LeMat-Bulk | PBE-GGA | relaxed; formation energy = -3.10 eV/f.u.
1.0
3.888 0.000 0.000
-1.944 6.432 -0.371
0.000 -3.414 8.805
Pr Au Sm
3 2 2
direct
0.612 0.224 0.443
0.500 0.000 0.000
0.388 0.776 0.557
0.830 0.660 0.776
0.170 0.340 0.224
0.845 0.690 0.187
0.155 0.310 0.813

Pr2SmAu | Alexandria via LeMat-Bulk | PBE-GGA | relaxed; distance to the lowest polymorph of the same formula = 0 meV/atom; formation energy = -1.59 eV/f.u.
1.0
3.852 0.001 0.000
-1.924 6.225 0.000
0.000 0.000 10.255
Pr Au Sm
4 2 2
direct
0.366 0.733 0.949
0.634 0.267 0.051
0.634 0.267 0.449
0.366 0.733 0.551
0.239 0.477 0.250
0.761 0.523 0.750
0.934 0.869 0.250
0.066 0.131 0.750

Pr2SmAu | Alexandria via LeMat-Bulk | PBE-GGA | relaxed; distance to the lowest polymorph of the same formula = 165 meV/atom; formation energy = -0.93 eV/f.u.
1.0
3.838 0.000 0.000
1.919 3.324 0.000
1.919 1.108 10.230
Pr Sm Au
2 1 1
direct
0.263 0.263 0.212
0.071 0.071 0.788
0.500 0.500 0.501
0.667 0.667 0.999

PrSm2Au6 | Alexandria via LeMat-Bulk | PBE-GGA | relaxed; formation energy = -6.49 eV/f.u.
1.0
3.740 0.000 0.000
1.870 8.255 1.312
1.870 3.627 7.530
Sm Au Pr
2 6 1
direct
0.359 0.141 0.141
0.641 0.859 0.859
0.177 0.510 0.137
0.823 0.490 0.863
0.823 0.863 0.490
0.177 0.137 0.510
0.000 0.817 0.183
0.000 0.183 0.817
0.500 0.500 0.500

Pr2Sm3Au7 | Alexandria via LeMat-Bulk | PBE-GGA | relaxed; formation energy = -7.72 eV/f.u.
1.0
5.401 0.000 0.000
0.000 5.207 0.000
0.000 -2.603 11.060
Au Pr Sm
7 2 3
direct
0.500 0.916 0.833
0.000 0.000 0.000
0.000 0.720 0.440
0.000 0.570 0.141
0.000 0.280 0.560
0.000 0.430 0.859
0.500 0.084 0.167
0.000 0.142 0.283
0.000 0.858 0.717
0.500 0.663 0.327
0.500 0.337 0.673
0.500 0.500 0.000

Across the entries above, calculated density takes the values 13.03, 10.06, 7.51, 10.41, 9.54, 10.31, 9.32, 7.77, 10.21, 11.60, 8.85, 9.27, 8.36, 12.56, 10.98, 8.62, 8.50, 8.00, 12.56, 11.27 g cm⁻³, respectively.